Entry 1:
Here is a crystal of Fe2NiAs relaxed with PBEsol from Alexandria via LeMat-Bulk. Energies are from SCAN.

SG = P4/mmm (123)
Calculated formation energy = -16 kJ/mol of atoms
V = 11.54 Å³/atom

Cell: 3.489 3.489 3.794 Å, 90.00 90.00 90.00°
Fractional positions:
1 Fe 0.000 0.500 0.000
2 Fe 0.500 0.000 0.000
3 Ni 0.000 0.000 0.500
4 As 0.500 0.500 0.500

Entry 2:
Here is a crystal of HgIrOs relaxed with PBEsol from Alexandria via LeMat-Bulk. Energies are from SCAN.

SG = P3m1 (156)
Calculated formation energy = 49 kJ/mol of atoms
V = 15.77 Å³/atom

Cell: 2.802 2.802 6.955 Å, 90.00 90.00 120.00°
Fractional positions:
1 Hg 0.000 0.000 0.000
2 Ir 0.333 0.667 0.647
3 Os 0.667 0.333 0.354

Entry 3:
Here is a crystal of Li2TcPt relaxed with PBEsol from Alexandria via LeMat-Bulk. Energies are from SCAN.

SG = Fm-3m (225)
Calculated formation energy = 7 kJ/mol of atoms
V = 12.57 Å³/atom
Excess energy over the best structure of this formula in the dataset = 286 meV/atom

Cell: 4.142 4.142 4.142 Å, 60.00 60.00 60.00°
Fractional positions:
1 Li 0.250 0.250 0.250
2 Li 0.750 0.750 0.750
3 Tc 0.000 0.000 0.000
4 Pt 0.500 0.500 0.500

Entry 4:
Here is a crystal of Ca2AlS relaxed with PBEsol from Alexandria via LeMat-Bulk. Energies are from SCAN.

SG = Fm-3m (225)
Raw formation energy = -0.53 eV/atom
V = 23.75 Å³/atom

Cell: 5.122 5.122 5.122 Å, 60.00 60.00 60.00°
Fractional positions:
1 Ca 0.250 0.250 0.250
2 Ca 0.750 0.750 0.750
3 Al 0.000 0.000 0.000
4 S 0.500 0.500 0.500

Entry 5:
Here is a crystal of LaTa2Os2 relaxed with PBEsol from Alexandria via LeMat-Bulk. Energies are from SCAN.

SG = I4/mmm (139)
Calculated formation energy = -2 kJ/mol of atoms
V = 20.87 Å³/atom
Excess energy over the best structure of this formula in the dataset = 409 meV/atom

Cell: 6.379 6.379 6.379 Å, 140.45 140.45 57.17°
Fractional positions:
1 La 0.000 0.000 0.000
2 Ta 0.371 0.371 0.000
3 Ta 0.629 0.629 0.000
4 Os 0.250 0.750 0.500
5 Os 0.750 0.250 0.500

Entry 6:
Here is a crystal of Ca3Nb4O12F2 relaxed with PBEsol from Alexandria via LeMat-Bulk. Energies are from SCAN.

SG = R-3m (166)
Raw formation energy = -3.13 eV/atom
V = 13.68 Å³/atom
Excess energy over the best structure of this formula in the dataset = 18 meV/atom

Cell: 7.353 7.353 7.353 Å, 60.96 60.96 60.96°
Fractional positions:
1 Ca 0.000 0.500 0.500
2 Ca 0.500 0.000 0.500
3 Ca 0.500 0.500 0.000
4 Nb 0.000 0.000 0.000
5 Nb 0.000 0.000 0.500
6 Nb 0.000 0.500 0.000
7 Nb 0.500 0.000 0.000
8 O 0.056 0.685 0.685
9 O 0.073 0.073 0.680
10 O 0.073 0.680 0.073
11 O 0.315 0.315 0.944
12 O 0.315 0.944 0.315
13 O 0.320 0.927 0.927
14 O 0.680 0.073 0.073
15 O 0.685 0.056 0.685
16 O 0.685 0.685 0.056
17 O 0.927 0.320 0.927
18 O 0.927 0.927 0.320
19 O 0.944 0.315 0.315
20 F 0.361 0.361 0.361
21 F 0.639 0.639 0.639

Entry 7:
Here is a crystal of Co3BRu relaxed with PBEsol from Alexandria via LeMat-Bulk. Energies are from SCAN.

SG = Pm-3m (221)
Calculated formation energy = 27 kJ/mol of atoms
V = 10.53 Å³/atom

Cell: 3.748 3.748 3.748 Å, 90.00 90.00 90.00°
Fractional positions:
1 Co 0.000 0.000 0.500
2 Co 0.000 0.500 0.000
3 Co 0.500 0.000 0.000
4 B 0.000 0.000 0.000
5 Ru 0.500 0.500 0.500

Entry 8:
Here is a crystal of MnNbTe2I relaxed with PBEsol from Alexandria via LeMat-Bulk. Energies are from SCAN.

SG = P4/mmm (123)
Raw formation energy = 0.57 eV/atom
V = 27.19 Å³/atom

Cell: 5.107 5.107 5.212 Å, 90.00 90.00 90.00°
Fractional positions:
1 Mn 0.000 0.000 0.000
2 Nb 0.500 0.500 0.500
3 Te 0.000 0.500 0.000
4 Te 0.500 0.000 0.000
5 I 0.000 0.000 0.500

Entry 9:
Here is a crystal of MnSbW3 relaxed with PBEsol from Alexandria via LeMat-Bulk. Energies are from SCAN.

SG = Pm-3m (221)
Raw formation energy = 1.46 eV/atom
V = 17.94 Å³/atom

Cell: 4.477 4.477 4.477 Å, 90.00 90.00 90.00°
Fractional positions:
1 Mn 0.000 0.000 0.000
2 Sb 0.500 0.500 0.500
3 W 0.000 0.000 0.500
4 W 0.000 0.500 0.000
5 W 0.500 0.000 0.000

Entry 10:
Here is a crystal of BeTlAsBr2 relaxed with PBEsol from Alexandria via LeMat-Bulk. Energies are from SCAN.

SG = P4/mmm (123)
Raw formation energy = -0.14 eV/atom
V = 23.05 Å³/atom

Cell: 5.086 5.086 4.456 Å, 90.00 90.00 90.00°
Fractional positions:
1 Be 0.000 0.000 0.000
2 Tl 0.500 0.500 0.500
3 As 0.000 0.000 0.500
4 Br 0.000 0.500 0.000
5 Br 0.500 0.000 0.000

Entry 11:
Here is a crystal of YSi2Rh3 relaxed with PBEsol from Alexandria via LeMat-Bulk. Energies are from SCAN.

SG = Imma (74)
Raw formation energy = -1.22 eV/atom
V = 15.45 Å³/atom
Excess energy over the best structure of this formula in the dataset = 0 meV/atom

Cell: 6.538 6.538 6.538 Å, 113.95 86.87 130.44°
Fractional positions:
1 Y 0.460 0.210 0.250
2 Y 0.540 0.790 0.750
3 Si 0.116 0.696 0.421
4 Si 0.225 0.304 0.921
5 Si 0.775 0.696 0.079
6 Si 0.884 0.304 0.579
7 Rh 0.000 0.000 0.500
8 Rh 0.000 0.215 0.215
9 Rh 0.000 0.500 0.000
10 Rh 0.000 0.785 0.785
11 Rh 0.500 0.215 0.715
12 Rh 0.500 0.785 0.285

Entry 12:
Here is a crystal of ZrAl2Cl relaxed with PBEsol from Alexandria via LeMat-Bulk. Energies are from SCAN.

SG = C2/m (12)
Raw formation energy = -0.31 eV/atom
V = 18.29 Å³/atom
Excess energy over the best structure of this formula in the dataset = 0 meV/atom

Cell: 5.690 5.690 4.430 Å, 96.62 96.62 30.91°
Fractional positions:
1 Zr 0.000 0.000 0.000
2 Al 0.266 0.266 0.763
3 Al 0.734 0.734 0.237
4 Cl 0.500 0.500 0.500